(1)
# AcBeAl2Pt4

Crystalline AcBeAl2Pt4 at its relaxed geometry (PBE, the Alexandria database).

Cell and atoms, written as CIF:
```
data_AcBeAl2Pt4
_cell_length_a 4.2608
_cell_length_b 4.2608
_cell_length_c 27.0710
_cell_angle_alpha 90.00
_cell_angle_beta 90.00
_cell_angle_gamma 120.00
_symmetry_space_group_name_H-M 'R -3 m'
_symmetry_Int_Tables_number 166
_symmetry_space_group_name_Hall '-R 3 2"'
loop_
_atom_site_label
_atom_site_fract_x
_atom_site_fract_y
_atom_site_fract_z
_atom_site_occupancy
Ac1 0.0000 0.0000 0.0000 1
Be1 0.0000 0.0000 0.5000 1
Al1 0.0000 0.0000 0.2337 1
Pt1 0.0000 0.0000 0.1382 1
Pt2 0.0000 0.0000 0.4112 1
```

## Properties
Total magnetic moment   0.00 μB per cell
Energy of formation   -1.01 eV per atom

(2)
# AcBeAlPt6

Crystalline AcBeAlPt6 at its relaxed geometry (PBE, the Alexandria database).

Cell and atoms, written as CIF:
```
data_AcBeAlPt6
_cell_length_a 7.5712
_cell_length_b 8.2030
_cell_length_c 11.2938
_cell_angle_alpha 90.00
_cell_angle_beta 90.00
_cell_angle_gamma 90.00
_symmetry_space_group_name_H-M 'I m m a'
_symmetry_Int_Tables_number 74
_symmetry_space_group_name_Hall '-I 2b 2'
loop_
_atom_site_label
_atom_site_fract_x
_atom_site_fract_y
_atom_site_fract_z
_atom_site_occupancy
Ac1 0.0000 0.2500 0.1551 1
Be1 0.0000 0.0000 0.5000 1
Al1 0.2500 0.2500 0.7500 1
Pt1 0.0000 0.2500 0.4144 1
Pt2 0.0000 0.2500 0.8872 1
Pt3 0.2362 0.0108 0.6209 1
```

## Properties
Total magnetic moment   0.00 μB per cell
Energy of formation   -0.56 eV per atom

(3)
# Ac2BeAl4Zn3

Crystalline Ac2BeAl4Zn3 at its relaxed geometry (PBE, the Alexandria database).

Cell and atoms, written as CIF:
```
data_Ac2BeAl4Zn3
_cell_length_a 4.3924
_cell_length_b 4.3924
_cell_length_c 10.7776
_cell_angle_alpha 90.00
_cell_angle_beta 90.00
_cell_angle_gamma 90.00
_symmetry_space_group_name_H-M 'P -4 m 2'
_symmetry_Int_Tables_number 115
_symmetry_space_group_name_Hall 'P -4 -2'
loop_
_atom_site_label
_atom_site_fract_x
_atom_site_fract_y
_atom_site_fract_z
_atom_site_occupancy
Ac1 0.0000 0.5000 0.2407 1
Be1 0.5000 0.5000 0.0000 1
Al1 0.0000 0.0000 0.5000 1
Al2 0.0000 0.5000 0.8803 1
Al3 0.5000 0.5000 0.5000 1
Zn1 0.0000 0.0000 0.0000 1
Zn2 0.0000 0.5000 0.6381 1
```

## Properties
Total magnetic moment   0.00 μB per cell
Energy of formation   -0.32 eV per atom

(4)
# AcAlBi2

Crystalline AcAlBi2 at its relaxed geometry (PBE, the Alexandria database).

Cell and atoms, written as CIF:
```
data_AcAlBi2
_cell_length_a 8.0090
_cell_length_b 8.0090
_cell_length_c 8.0090
_cell_angle_alpha 90.00
_cell_angle_beta 90.00
_cell_angle_gamma 90.00
_symmetry_space_group_name_H-M 'F m -3 m'
_symmetry_Int_Tables_number 225
_symmetry_space_group_name_Hall '-F 4 2 3'
loop_
_atom_site_label
_atom_site_fract_x
_atom_site_fract_y
_atom_site_fract_z
_atom_site_occupancy
Ac1 0.0000 0.0000 0.0000 1
Al1 0.0000 0.0000 0.5000 1
Bi1 0.2500 0.2500 0.2500 1
```

## Properties
Total magnetic moment   0.00 μB per cell
Energy of formation   -0.15 eV per atom

(5)
# Ac2AlBi

Crystalline Ac2AlBi at its relaxed geometry (PBE, the Alexandria database).

Cell and atoms, written as CIF:
```
data_Ac2AlBi
_cell_length_a 4.2282
_cell_length_b 4.2282
_cell_length_c 7.6098
_cell_angle_alpha 90.00
_cell_angle_beta 90.00
_cell_angle_gamma 90.00
_symmetry_space_group_name_H-M 'P 4/m m m'
_symmetry_Int_Tables_number 123
_symmetry_space_group_name_Hall '-P 4 2'
loop_
_atom_site_label
_atom_site_fract_x
_atom_site_fract_y
_atom_site_fract_z
_atom_site_occupancy
Ac1 0.0000 0.0000 0.2480 1
Al1 0.5000 0.5000 0.0000 1
Bi1 0.5000 0.5000 0.5000 1
```

## Properties
Total magnetic moment   0.00 μB per cell
Energy of formation   -0.47 eV per atom

(6)
# Ac2AlBi4

Crystalline Ac2AlBi4 at its relaxed geometry (PBE, the Alexandria database).

Cell and atoms, written as CIF:
```
data_Ac2AlBi4
_cell_length_a 4.7326
_cell_length_b 4.7326
_cell_length_c 10.7211
_cell_angle_alpha 90.00
_cell_angle_beta 90.00
_cell_angle_gamma 90.00
_symmetry_space_group_name_H-M 'P -4 m 2'
_symmetry_Int_Tables_number 115
_symmetry_space_group_name_Hall 'P -4 -2'
loop_
_atom_site_label
_atom_site_fract_x
_atom_site_fract_y
_atom_site_fract_z
_atom_site_occupancy
Ac1 0.0000 0.5000 0.2492 1
Al1 0.5000 0.5000 0.0000 1
Bi1 0.0000 0.0000 0.5000 1
Bi2 0.0000 0.5000 0.8496 1
Bi3 0.5000 0.5000 0.5000 1
```

## Properties
Total magnetic moment   0.00 μB per cell
Energy of formation   -0.56 eV per atom

(7)
# AcAlBi

Crystalline AcAlBi at its relaxed geometry (PBE, the Alexandria database).

Cell and atoms, written as CIF:
```
data_AcAlBi
_cell_length_a 5.0389
_cell_length_b 5.0389
_cell_length_c 4.3719
_cell_angle_alpha 90.00
_cell_angle_beta 90.00
_cell_angle_gamma 120.00
_symmetry_space_group_name_H-M 'P -6 m 2'
_symmetry_Int_Tables_number 187
_symmetry_space_group_name_Hall 'P -6 2'
loop_
_atom_site_label
_atom_site_fract_x
_atom_site_fract_y
_atom_site_fract_z
_atom_site_occupancy
Ac1 0.0000 0.0000 0.0000 1
Al1 0.3333 0.6667 0.5000 1
Bi1 0.6667 0.3333 0.5000 1
```

## Properties
Total magnetic moment   0.00 μB per cell
Energy of formation   -0.40 eV per atom

(8)
# AcAl2Bi

Crystalline AcAl2Bi at its relaxed geometry (PBE, the Alexandria database).

Cell and atoms, written as CIF:
```
data_AcAl2Bi
_cell_length_a 4.8578
_cell_length_b 4.8578
_cell_length_c 4.6884
_cell_angle_alpha 90.00
_cell_angle_beta 90.00
_cell_angle_gamma 90.00
_symmetry_space_group_name_H-M 'P 4/m m m'
_symmetry_Int_Tables_number 123
_symmetry_space_group_name_Hall '-P 4 2'
loop_
_atom_site_label
_atom_site_fract_x
_atom_site_fract_y
_atom_site_fract_z
_atom_site_occupancy
Ac1 0.0000 0.0000 0.0000 1
Al1 0.0000 0.5000 0.5000 1
Bi1 0.5000 0.5000 0.0000 1
```

## Properties
Total magnetic moment   0.00 μB per cell
Energy of formation   -0.23 eV per atom

(9)
# AcAl2Bi

Crystalline AcAl2Bi at its relaxed geometry (PBE, the Alexandria database).

Cell and atoms, written as CIF:
```
data_AcAl2Bi
_cell_length_a 4.9744
_cell_length_b 4.9744
_cell_length_c 16.3675
_cell_angle_alpha 90.00
_cell_angle_beta 90.00
_cell_angle_gamma 120.00
_symmetry_space_group_name_H-M 'R -3 m'
_symmetry_Int_Tables_number 166
_symmetry_space_group_name_Hall '-R 3 2"'
loop_
_atom_site_label
_atom_site_fract_x
_atom_site_fract_y
_atom_site_fract_z
_atom_site_occupancy
Ac1 0.0000 0.0000 0.0000 1
Al1 0.0000 0.0000 0.2151 1
Bi1 0.0000 0.0000 0.5000 1
```

## Properties
Total magnetic moment   0.00 μB per cell
Energy of formation   -0.13 eV per atom

(10)
# AcAlBi2

Crystalline AcAlBi2 at its relaxed geometry (PBE, the Alexandria database).

Cell and atoms, written as CIF:
```
data_AcAlBi2
_cell_length_a 4.3420
_cell_length_b 4.3420
_cell_length_c 6.7143
_cell_angle_alpha 90.00
_cell_angle_beta 90.00
_cell_angle_gamma 90.00
_symmetry_space_group_name_H-M 'P 4/m m m'
_symmetry_Int_Tables_number 123
_symmetry_space_group_name_Hall '-P 4 2'
loop_
_atom_site_label
_atom_site_fract_x
_atom_site_fract_y
_atom_site_fract_z
_atom_site_occupancy
Ac1 0.0000 0.0000 0.0000 1
Al1 0.0000 0.0000 0.5000 1
Bi1 0.5000 0.5000 0.2681 1
```

## Properties
Total magnetic moment   0.00 μB per cell
Energy of formation   -0.28 eV per atom

(11)
# AcAl2Bi

Crystalline AcAl2Bi at its relaxed geometry (PBE, the Alexandria database).

Cell and atoms, written as CIF:
```
data_AcAl2Bi
_cell_length_a 3.9382
_cell_length_b 3.9382
_cell_length_c 7.1463
_cell_angle_alpha 90.00
_cell_angle_beta 90.00
_cell_angle_gamma 90.00
_symmetry_space_group_name_H-M 'P 4/m m m'
_symmetry_Int_Tables_number 123
_symmetry_space_group_name_Hall '-P 4 2'
loop_
_atom_site_label
_atom_site_fract_x
_atom_site_fract_y
_atom_site_fract_z
_atom_site_occupancy
Ac1 0.0000 0.0000 0.0000 1
Al1 0.5000 0.5000 0.3009 1
Bi1 0.0000 0.0000 0.5000 1
```

## Properties
Total magnetic moment   0.01 μB per cell
Energy of formation   -0.11 eV per atom

(12)
# AcAlBi2

Crystalline AcAlBi2 at its relaxed geometry (PBE, the Alexandria database).

Cell and atoms, written as CIF:
```
data_AcAlBi2
_cell_length_a 5.0187
_cell_length_b 5.0187
_cell_length_c 4.8577
_cell_angle_alpha 90.00
_cell_angle_beta 90.00
_cell_angle_gamma 90.00
_symmetry_space_group_name_H-M 'P 4/m m m'
_symmetry_Int_Tables_number 123
_symmetry_space_group_name_Hall '-P 4 2'
loop_
_atom_site_label
_atom_site_fract_x
_atom_site_fract_y
_atom_site_fract_z
_atom_site_occupancy
Ac1 0.0000 0.0000 0.0000 1
Al1 0.5000 0.5000 0.0000 1
Bi1 0.0000 0.5000 0.5000 1
```

## Properties
Total magnetic moment   0.00 μB per cell
Energy of formation   -0.37 eV per atom

(13)
# Ac3AlBi

Crystalline Ac3AlBi at its relaxed geometry (PBE, the Alexandria database).

Cell and atoms, written as CIF:
```
data_Ac3AlBi
_cell_length_a 6.0085
_cell_length_b 6.0085
_cell_length_c 6.0085
_cell_angle_alpha 90.00
_cell_angle_beta 90.00
_cell_angle_gamma 90.00
_symmetry_space_group_name_H-M 'P m -3 m'
_symmetry_Int_Tables_number 221
_symmetry_space_group_name_Hall '-P 4 2 3'
loop_
_atom_site_label
_atom_site_fract_x
_atom_site_fract_y
_atom_site_fract_z
_atom_site_occupancy
Ac1 0.0000 0.0000 0.5000 1
Al1 0.0000 0.0000 0.0000 1
Bi1 0.5000 0.5000 0.5000 1
```

## Properties
Total magnetic moment   0.00 μB per cell
Energy of formation   -0.04 eV per atom